No. 1
4
Lattice="-4.4297 -3.4305 0.6917 -4.9286 2.0823 1.8004 -4.3915 0.3132 -3.5335" Properties=species:S:1:pos:R:3 comment="GGA-PBE BaLa2Nb, relaxed" dft_energy_ev_per_atom=-4.861 e_form_ev_per_atom=0.601 mass_density_kg_m3=6632 e_above_lowest_polymorph_ev_per_fu=0.00 pbc="T T T"
Nb 0.0000 0.0000 0.0000
Ba -6.8749 -0.5175 -0.5207
La -3.4374 -0.2588 -0.2603
La -10.3123 -0.7763 -0.7810

---

No. 2
7
Lattice="6.3286 0.0000 0.0000 0.0000 6.3286 0.0000 3.1643 3.1643 7.5946" Properties=species:S:1:pos:R:3 comment="GGA-PBE NaIn2I4, relaxed" dft_energy_ev_per_atom=-2.380 mass_density_kg_m3=4150 raw_formation_energy_ev_per_atom=-0.52 e_above_lowest_polymorph_ev_per_fu=0.60 pbc="T T T"
I 3.1643 3.1643 4.3676
I 6.3286 6.3286 3.2270
I 0.0000 3.1643 0.0000
I 3.1643 0.0000 0.0000
Na 0.0000 0.0000 0.0000
In 3.1643 3.1643 1.5196
In 6.3286 6.3286 6.0750

---

No. 3
64
Lattice="-3.4935 -0.9237 7.1486 -4.6323 -5.7935 -3.6432 7.5762 -7.7557 2.7004" Properties=species:S:1:pos:R:3 comment="GGA-PBE YHSO5, relaxed" dft_energy_ev_per_atom=-6.942 mass_density_kg_m3=3636 pbc="T T T"
Y -3.0542 -9.0295 2.7257
Y -1.7879 -2.8080 -0.0238
Y 2.5045 -5.4434 3.4801
Y 1.2382 -11.6649 6.2296
Y -1.0592 -6.2810 4.5917
Y -4.2840 -5.9977 -1.7506
Y 0.5096 -8.1920 1.6141
Y 3.7343 -8.4753 7.9564
H 1.3644 -5.9808 6.0330
H 3.2974 -10.9775 1.5291
H -1.9140 -8.4922 0.1728
H -3.8471 -3.4955 4.6767
H -0.5859 -8.9645 4.1651
H 5.5764 -7.7550 3.1606
H 0.0362 -5.5085 2.0408
H -6.1261 -6.7179 3.0452
S 1.8738 -3.3628 0.4378
S -3.4330 -5.4480 1.7472
S -2.4235 -11.1102 5.7680
S 2.8834 -9.0249 4.4586
S 0.2011 -8.3908 7.3409
S 0.5065 -11.7213 2.2568
S -0.7508 -6.0821 -1.1350
S -1.0562 -2.7516 3.9490
O -5.1473 -9.1736 3.5656
O -2.3671 -4.5018 1.3556
O 4.5977 -5.2994 2.6403
O 1.8175 -9.9711 4.8502
O 1.5398 -7.7966 7.5998
O 1.0888 -10.3527 2.2461
O -2.0894 -6.6764 -1.3940
O -1.6384 -4.1202 3.9597
O 0.3099 -9.8645 7.3587
O -0.8778 -11.6665 1.7424
O -0.8595 -4.6084 -1.1529
O 0.3281 -2.8064 4.4634
O -1.6921 -5.4141 6.6434
O -4.1913 -5.8735 0.5596
O 1.1424 -9.0588 -0.4375
O 3.6416 -8.5994 5.6462
O -0.2717 -7.9150 6.0192
O 1.3496 -12.5926 1.4041
O -0.2779 -6.5580 0.1867
O -1.8993 -1.8804 4.8017
O -0.9299 -8.3840 3.4588
O 6.3266 -8.2947 2.8444
O 0.3802 -6.0889 2.7470
O -6.8762 -6.1783 3.3614
O 1.0381 -5.3568 5.3506
O 4.0822 -11.4909 1.2427
O -1.5877 -9.1161 0.8552
O -4.6318 -2.9820 4.9631
O -3.2561 -7.4067 4.9609
O -1.0091 -2.1891 2.5609
O 2.7064 -7.0662 1.2449
O 0.4594 -12.2838 3.6449
O -2.6029 -10.5956 4.3896
O 3.8051 -9.6376 3.4727
O 2.0532 -3.8773 1.8163
O -4.3548 -4.8353 2.7332
O -2.7577 -6.6204 2.4099
O 0.6072 -2.5473 0.4084
O 2.2080 -7.8525 3.7960
O -1.1569 -11.9256 5.7975

---

No. 4
9
Lattice="-3.1253 2.4421 1.2060 -3.9210 -2.1104 1.2390 1.7704 -1.6446 7.9241" Properties=species:S:1:pos:R:3 comment="GGA-PBE In2Cu3Pd4, relaxed" dft_energy_ev_per_atom=-4.590 e_form_ev_per_atom=-0.308 mass_density_kg_m3=10076 pbc="T T T"
In -1.0346 -1.2310 6.9440
In -4.2413 -0.0819 3.4251
Cu -1.4973 -0.5535 4.3598
Cu 0.0000 0.0000 0.0000
Cu -3.7786 -0.7594 6.0093
Pd -3.1424 -1.2761 8.6979
Pd -3.2707 -2.5800 3.8747
Pd -2.0052 1.2671 6.4943
Pd -2.1335 -0.0368 1.6711

---

No. 5
5
Lattice="-3.1272 -3.0002 -1.7516 2.9040 -3.5510 0.8976 -2.0722 -0.5301 4.6075" Properties=species:S:1:pos:R:3 comment="GGA-PBE SrReS2Cl, relaxed" dft_energy_ev_per_atom=-5.533 mass_density_kg_m3=5587 raw_formation_energy_ev_per_atom=-0.69 e_above_lowest_polymorph_ev_per_fu=0.00 pbc="T T T"
Re 0.0000 0.0000 0.0000
S 1.4520 -1.7755 0.4488
S -1.5636 -1.5001 -0.8758
Cl -1.0361 -0.2650 2.3038
Sr -1.1477 -3.5406 1.8768

---

No. 6
8
Lattice="5.9302 0.0000 0.0000 0.0000 5.9302 0.0000 2.9651 2.9651 4.3219" Properties=species:S:1:pos:R:3 comment="GGA-PBE Be2TlP, relaxed" dft_energy_ev_per_atom=-3.553 e_form_ev_per_atom=0.254 mass_density_kg_m3=5537 e_above_lowest_polymorph_ev_per_fu=0.28 pbc="T T T"
P 2.9651 2.9651 0.0000
P 2.9651 5.9302 2.1609
Tl 0.0000 0.0000 0.0000
Tl 5.9302 2.9651 2.1609
Be 3.9356 1.4826 1.0805
Be 1.9946 4.4477 1.0805
Be 4.4477 4.9597 3.2414
Be 7.4128 6.9007 3.2414

---

No. 7
18
Lattice="6.2156 0.0000 0.0000 0.0000 10.5851 0.0000 0.0000 0.0000 10.5851" Properties=species:S:1:pos:R:3 comment="GGA-PBE CsNa4Sb4, relaxed" dft_energy_ev_per_atom=-2.763 mass_density_kg_m3=3395 raw_formation_energy_ev_per_atom=-0.25 pbc="T T T"
Cs 0.0000 0.0000 0.0000
Cs 3.1078 5.2926 5.2926
Na 2.2921 3.8389 9.2217
Na 5.3999 6.6559 9.1315
Na 2.2921 6.7462 1.3634
Na 0.8157 1.4536 6.6559
Na 3.9235 9.2217 6.7462
Na 0.8157 9.1315 3.9292
Na 5.3999 3.9292 1.4536
Na 3.9235 1.3634 3.8389
Sb 3.9113 8.7700 3.4650
Sb 3.9113 1.8151 7.1201
Sb 0.8036 8.7575 7.1077
Sb 5.4120 3.4774 8.7575
Sb 5.4120 7.1077 1.8276
Sb 2.3042 3.4650 1.8151
Sb 2.3042 7.1201 8.7700
Sb 0.8036 1.8276 3.4774

---

No. 8
4
Lattice="-0.5300 -4.6406 -1.1835 1.0636 -3.4396 3.2022 -3.5264 -2.6076 1.9953" Properties=species:S:1:pos:R:3 comment="GGA-PBE LiAg2Pb, relaxed" dft_energy_ev_per_atom=-2.936 e_form_ev_per_atom=-0.104 mass_density_kg_m3=9024 pbc="T T T"
Pb -0.7482 -2.6719 1.0035
Ag 0.0000 0.0000 0.0000
Ag -2.2446 -8.0158 3.0106
Li -1.4964 -5.3439 2.0070

---

No. 9
6
Lattice="-0.3324 2.9291 1.9471 -1.4801 -1.8907 2.5915 11.2102 -2.0093 4.9366" Properties=species:S:1:pos:R:3 comment="GGA-PBE Ho3ThAl2, relaxed" dft_energy_ev_per_atom=-5.026 e_form_ev_per_atom=-0.253 mass_density_kg_m3=8369 pbc="T T T"
Ho 0.0000 0.0000 0.0000
Ho 7.8357 -1.4044 3.4506
Ho 3.3745 -0.6048 1.4860
Th 4.6989 -0.4854 4.7376
Al 8.6122 -1.1868 6.4609
Al 0.7855 0.2160 3.0143

---

No. 10
10
Lattice="-3.3016 -0.4227 2.3577 -2.2292 -0.9266 -3.2879 2.1336 -9.6168 1.2636" Properties=species:S:1:pos:R:3 comment="GGA-PBE Y2Ni3Ge4Ir, relaxed" dft_energy_ev_per_atom=-6.475 e_form_ev_per_atom=-0.715 mass_density_kg_m3=8408 pbc="T T T"
Y -1.1308 -2.5550 1.4868
Y 0.4991 -7.7364 -0.6883
Ni 1.0668 -4.8084 0.6318
Ni 0.2171 -8.6303 2.2850
Ni -0.8488 -1.6611 -1.4865
Ge -2.7654 -0.6747 -0.4651
Ge 0.0000 0.0000 0.0000
Ge -0.2833 -6.3752 1.9887
Ge -0.3485 -3.9162 -1.1902
Ir -1.6986 -5.4830 0.1667

---

No. 11
4
Lattice="-0.7945 -3.1516 1.1772 1.6576 0.4533 2.3325 -5.9715 2.8814 3.6837" Properties=species:S:1:pos:R:3 comment="GGA-PBE Cu2SiBr, relaxed" dft_energy_ev_per_atom=-3.569 mass_density_kg_m3=5139 raw_formation_energy_ev_per_atom=0.25 e_above_lowest_polymorph_ev_per_fu=1.31 pbc="T T T"
Br -4.5567 1.0579 4.8320
Cu -0.3138 0.1514 0.1936
Cu -0.9908 -0.6628 2.6322
Si -2.2329 1.0775 1.3774

---

No. 12
4
Lattice="6.9410 1.6564 7.6620 8.9294 -0.4323 5.4505 8.7199 3.1484 4.8662" Properties=species:S:1:pos:R:3 comment="GGA-PBE YAsBr2, relaxed" dft_energy_ev_per_atom=-4.251 mass_density_kg_m3=4580 raw_formation_energy_ev_per_atom=-0.64 e_above_lowest_polymorph_ev_per_fu=1.93 pbc="T T T"
Y 12.2951 2.1863 8.9893
As 0.0000 0.0000 0.0000
Br 22.0361 3.9184 16.1113
Br 2.5541 0.4542 1.8674